NaCuO2 | GGA-PBE | optimized geometry

Structure (POSCAR):
```
NaCuO2
1.0
2.785 0.000 0.000
-1.393 5.924 0.000
0.000 0.000 6.015
O Cu Na
4 2 2
Direct
0.709 0.418 0.831
0.449 0.898 0.597
0.291 0.582 0.331
0.551 0.102 0.097
0.128 0.257 0.963
0.872 0.743 0.463
0.632 0.263 0.456
0.368 0.737 0.956
```

Properties
density: 4.0 g cm⁻³
magnetic moment: 0.00 μB per formula unit
formation energy from raw total energies: -0.938 eV/atom

KGaSn | GGA-PBE | optimized geometry

Structure (POSCAR):
```
KGaSn
1.0
8.540 0.000 0.000
0.000 4.977 0.000
0.000 0.000 8.027
K Ga Sn
4 4 4
Direct
0.010 0.750 0.171
0.510 0.750 0.329
0.490 0.250 0.671
0.990 0.250 0.829
0.836 0.750 0.591
0.664 0.250 0.091
0.336 0.750 0.909
0.164 0.250 0.409
0.329 0.250 0.096
0.829 0.250 0.404
0.171 0.750 0.596
0.671 0.750 0.904
```

Properties
density: 4.4 g cm⁻³
magnetic moment: 0.00 μB per formula unit
final energy: -2.924 eV/atom

Zn3PbS | GGA-PBE | optimized geometry

Structure (POSCAR):
```
Zn3PbS
1.0
5.174 0.000 0.000
0.000 5.174 0.000
0.000 0.000 5.174
Zn Pb S
3 1 1
Direct
0.000 0.000 0.500
0.500 0.000 0.000
0.000 0.500 0.000
0.000 0.000 0.000
0.500 0.500 0.500
```

Properties
density: 5.2 g cm⁻³
energy relative to the lowest polymorph listed for this composition: 8.44 kcal/mol of atoms
magnetic moment: 0.00 μB per formula unit
formation energy from raw total energies: 0.662 eV/atom

Sc2CoCl | GGA-PBE | optimized geometry

Structure (POSCAR):
```
Sc2CoCl
1.0
6.027 0.018 0.000
3.853 4.635 0.000
-4.940 -2.327 2.551
Cl Sc Co
1 2 1
Direct
0.500 0.500 0.000
0.250 0.750 0.500
0.000 0.000 0.000
0.750 0.250 0.500
```

Properties
density: 4.3 g cm⁻³
energy relative to the lowest polymorph listed for this composition: 11.59 kcal/mol of atoms
magnetic moment: 0.00 μB per formula unit
formation energy from raw total energies: -0.285 eV/atom

ScSnOF2 | GGA-PBE | optimized geometry

Structure (POSCAR):
```
ScSnOF2
1.0
-2.790 3.028 -1.868
-3.491 -1.874 2.178
0.652 2.656 3.331
Sc O F Sn
1 1 2 1
Direct
0.500 0.500 0.500
0.000 0.000 0.500
0.000 0.500 0.000
0.500 0.000 0.000
0.000 0.000 0.000
```

Properties
density: 4.1 g cm⁻³
energy relative to the lowest polymorph listed for this composition: 24.49 kcal/mol of atoms
magnetic moment: 1.36 μB per formula unit
formation energy from raw total energies: -1.423 eV/atom

K5Rb4Au6 | GGA-PBE | optimized geometry

Structure (POSCAR):
```
K5Rb4Au6
1.0
5.505 0.000 0.000
-2.752 12.340 0.000
0.000 0.000 17.781
K Au Rb
10 12 8
Direct
0.320 0.640 0.295
0.826 0.652 0.127
0.470 0.939 0.661
0.338 0.677 0.957
0.323 0.646 0.614
0.530 0.061 0.161
0.662 0.323 0.457
0.677 0.354 0.114
0.174 0.348 0.627
0.680 0.360 0.795
0.904 0.807 0.621
0.240 0.479 0.457
0.600 0.200 0.633
0.566 0.133 0.916
0.096 0.193 0.121
0.400 0.800 0.133
0.743 0.486 0.289
0.760 0.521 0.957
0.257 0.514 0.789
0.434 0.867 0.416
0.458 0.915 0.855
0.542 0.085 0.355
0.836 0.673 0.451
0.040 0.081 0.783
0.164 0.327 0.951
0.856 0.712 0.800
0.960 0.919 0.283
0.982 0.964 0.995
0.144 0.288 0.300
0.018 0.036 0.495
```

Properties
density: 4.7 g cm⁻³
magnetic moment: 0.00 μB per formula unit
final energy: -2.157 eV/atom

TaNbHg2N | GGA-PBE | optimized geometry

Structure (POSCAR):
```
TaNbHg2N
1.0
5.447 0.000 0.000
0.000 4.832 0.000
0.000 0.000 5.447
Hg Nb N Ta
2 1 1 1
Direct
0.500 0.000 0.000
0.000 0.000 0.500
0.000 0.500 0.000
0.500 0.500 0.500
0.000 0.000 0.000
```

Properties
density: 8.0 g cm⁻³
magnetic moment: 1.80 μB per formula unit
formation energy from raw total energies: 2.052 eV/atom

Tc2MoRu2 | GGA-PBE | optimized geometry

Structure (POSCAR):
```
Tc2MoRu2
1.0
7.404 0.000 0.000
0.000 7.404 0.000
0.000 0.000 2.757
Mo Ru Tc
2 4 4
Direct
0.000 0.000 0.000
0.500 0.500 0.000
0.329 0.171 0.500
0.671 0.829 0.500
0.829 0.329 0.500
0.171 0.671 0.500
0.376 0.876 0.000
0.876 0.624 0.000
0.624 0.124 0.000
0.124 0.376 0.000
```

Properties
density: 10.9 g cm⁻³
energy relative to the lowest polymorph listed for this composition: 0.00 kcal/mol of atoms
magnetic moment: 0.00 μB per formula unit

Sr4MnTe | GGA-PBE | optimized geometry

Structure (POSCAR):
```
Sr4MnTe
1.0
0.000 5.059 5.059
5.059 0.000 5.059
5.059 5.059 0.000
Te Sr Mn
1 4 1
Direct
0.750 0.750 0.750
0.375 0.876 0.375
0.375 0.375 0.375
0.375 0.375 0.876
0.876 0.375 0.375
0.000 0.000 0.000
```

Properties
density: 3.4 g cm⁻³
magnetic moment: 3.89 μB per formula unit
formation energy from raw total energies: 0.434 eV/atom

GaCN2 | GGA-PBE | optimized geometry

Structure (POSCAR):
```
GaCN2
1.0
1.904 0.000 4.851
-0.952 1.649 4.851
-0.952 -1.649 4.851
N C Ga
2 1 1
Direct
0.914 0.914 0.914
0.086 0.086 0.086
0.000 0.000 0.000
0.500 0.500 0.500
```

Properties
density: 4.0 g cm⁻³
energy relative to the lowest polymorph listed for this composition: 0.00 kcal/mol of atoms
magnetic moment: 0.00 μB per formula unit
formation energy from raw total energies: 0.206 eV/atom

Tb5Cd2Si2 | GGA-PBE | optimized geometry

Structure (POSCAR):
```
Tb5Cd2Si2
1.0
7.096 0.000 2.576
0.000 7.562 0.000
0.774 0.000 8.931
Tb Si Cd
10 4 4
Direct
0.191 0.180 0.248
0.500 0.500 0.000
0.060 0.680 0.248
0.309 0.680 0.752
0.940 0.320 0.752
0.560 0.820 0.248
0.809 0.820 0.752
0.000 0.000 0.000
0.691 0.320 0.248
0.440 0.180 0.752
0.384 0.882 0.000
0.616 0.118 0.000
0.116 0.382 0.000
0.884 0.618 0.000
0.722 0.500 0.556
0.778 0.000 0.444
0.278 0.500 0.444
0.222 0.000 0.556
```

Properties
density: 7.7 g cm⁻³
magnetic moment: 0.00 μB per formula unit
formation energy from raw total energies: -0.501 eV/atom

Cd4Ag | GGA-PBE | optimized geometry

Structure (POSCAR):
```
Cd4Ag
1.0
10.835 -0.043 -0.044
-0.449 3.132 0.000
-0.449 -0.064 3.131
Cd Ag
4 1
Direct
0.187 0.594 0.594
0.396 0.198 0.198
0.604 0.802 0.802
0.813 0.406 0.406
0.000 0.000 0.000
```

Properties
density: 8.7 g cm⁻³
energy relative to the lowest polymorph listed for this composition: 0.16 kcal/mol of atoms
magnetic moment: 0.00 μB per formula unit

LiTh3Te6 | GGA-PBE | optimized geometry

Structure (POSCAR):
```
LiTh3Te6
1.0
8.819 -0.117 -1.504
-1.763 8.642 -1.504
-0.097 -0.117 8.946
Te Th Li
12 6 2
Direct
0.180 0.426 0.564
0.436 0.820 0.574
0.970 0.316 0.066
0.684 0.934 0.030
0.426 0.564 0.180
0.066 0.970 0.316
0.574 0.436 0.820
0.564 0.180 0.426
0.316 0.066 0.970
0.030 0.684 0.934
0.934 0.030 0.684
0.820 0.574 0.436
0.293 0.124 0.636
0.707 0.876 0.364
0.124 0.636 0.293
0.636 0.293 0.124
0.876 0.364 0.707
0.364 0.707 0.876
0.000 0.000 0.000
0.500 0.500 0.500
```

Properties
density: 7.2 g cm⁻³
magnetic moment: 0.00 μB per formula unit
formation energy from raw total energies: -1.086 eV/atom

K2GeMoPt | GGA-PBE | optimized geometry

Structure (POSCAR):
```
K2GeMoPt
1.0
-0.480 3.986 -5.022
2.693 -2.805 -2.483
-5.198 -3.190 -2.035
Ge K Mo Pt
1 2 1 1
Direct
0.000 0.000 0.000
0.000 0.000 0.500
0.500 0.000 0.000
0.500 0.500 0.500
0.000 0.500 0.000
```

Properties
density: 3.8 g cm⁻³
magnetic moment: 5.26 μB per formula unit
final energy: -3.734 eV/atom

La4Pr4Tm3 | GGA-PBE | optimized geometry

Structure (POSCAR):
```
La4Pr4Tm3
1.0
-0.137 3.461 -1.012
-5.592 0.174 1.370
7.243 3.390 17.012
Pr Tm La
4 3 4
Direct
0.592 0.096 0.191
0.279 0.277 0.555
0.721 0.723 0.445
0.408 0.904 0.809
0.000 0.000 0.000
0.127 0.631 0.261
0.873 0.369 0.739
0.820 0.817 0.635
0.459 0.457 0.914
0.180 0.183 0.365
0.541 0.543 0.086
```

Properties
density: 7.0 g cm⁻³
energy relative to the lowest polymorph listed for this composition: 0.00 kcal/mol of atoms
magnetic moment: 0.00 μB per formula unit

GeBi2Br | GGA-PBE | optimized geometry

Structure (POSCAR):
```
GeBi2Br
1.0
-0.067 0.212 4.038
3.433 -0.382 2.102
2.298 8.225 1.632
Ge Bi Br
1 2 1
Direct
0.668 0.668 0.997
0.071 0.071 0.786
0.263 0.263 0.210
0.498 0.498 0.506
```

Properties
density: 8.0 g cm⁻³
energy relative to the lowest polymorph listed for this composition: 0.00 kcal/mol of atoms
magnetic moment: 0.00 μB per formula unit
formation energy from raw total energies: 0.018 eV/atom

Cr2OsAu | GGA-PBE | optimized geometry

Structure (POSCAR):
```
Cr2OsAu
1.0
-1.536 2.749 -3.524
-3.795 1.907 -2.073
-0.300 4.190 1.966
Os Au Cr
1 1 2
Direct
0.486 0.486 0.540
0.253 0.253 0.236
0.744 0.744 0.737
0.017 0.017 0.988
```

Properties
density: 14.3 g cm⁻³
magnetic moment: 0.42 μB per formula unit
final energy: -8.120 eV/atom

Pr6CuNi2Br3 | GGA-PBE | optimized geometry

Structure (POSCAR):
```
Pr6CuNi2Br3
1.0
4.166 0.000 0.000
0.000 9.088 -0.253
-2.083 -3.219 9.186
Pr Ni Br Cu
6 2 3 1
Direct
0.015 0.236 0.029
0.681 0.553 0.363
0.319 0.447 0.637
0.985 0.764 0.971
0.343 0.889 0.685
0.657 0.111 0.315
0.166 0.330 0.332
0.834 0.670 0.668
0.165 0.832 0.330
0.500 0.500 0.000
0.835 0.168 0.670
0.500 0.000 0.000
```

Properties
density: 6.1 g cm⁻³
magnetic moment: 0.00 μB per formula unit
formation energy from raw total energies: -0.736 eV/atom

Li2TaTl | GGA-PBE | optimized geometry

Structure (POSCAR):
```
Li2TaTl
1.0
-0.655 5.172 1.561
-1.010 -3.718 3.842
2.729 0.100 0.814
Tl Li Ta
1 2 1
Direct
0.000 0.500 0.500
0.000 0.000 0.000
0.500 0.500 0.000
0.500 0.000 0.500
```

Properties
density: 8.7 g cm⁻³
magnetic moment: 0.11 μB per formula unit
final energy: -4.085 eV/atom

Fe4ReP | GGA-PBE | optimized geometry

Structure (POSCAR):
```
Fe4ReP
1.0
0.000 3.310 3.310
3.310 0.000 3.310
3.310 3.310 0.000
Fe P Re
4 1 1
Direct
0.625 0.125 0.625
0.625 0.625 0.625
0.625 0.625 0.125
0.125 0.625 0.625
0.250 0.250 0.250
0.000 0.000 0.000
```

Properties
density: 10.1 g cm⁻³
magnetic moment: 7.72 μB per formula unit
final energy: -8.280 eV/atom